## Cd2CoTeO6 (PBE+U)

Data for a relaxed structure of Cd2CoTeO6.

The space group is P4mm (No. 99) and the conventional cell measures 5.3384, 5.3384 and 4.9723 Å, with angles of 90.00, 90.00 and 90.00 degrees. The inequivalent atoms are Cd at (0.0000, 0.5000, 0.0000), Co at (0.0000, 0.0000, 0.5573), Te at (0.5000, 0.5000, 0.5955), O at (0.0000, 0.0000, 0.2006), O at (0.2501, 0.2501, 0.7135) and O at (0.5000, 0.5000, 0.2132).

The calculation puts the energy at -4.793 eV/atom. The calculation puts the volume at 14.17 A^3/atom.